A plane-wave DFT calculation with PBE-GGA was carried out for a relaxed structure of Tb3TmHg7.

Unit cell a=3.6205 b=31.1085 c=12.6690 alpha=90.00 beta=90.00 gamma=90.00
Closest atoms and distances in Å follow each position.
Space group Cmcm (No. 63)
Symmetry-distinct sites (fractional):
Tb: 0.0000 0.0691 0.0469 [8 per cell]  8 Hg 3.16-3.29
Tb: 0.0000 0.1886 0.7500 [4 per cell]  8 Hg 3.12-3.22
Tm: 0.0000 0.0704 0.7500 [4 per cell]  8 Hg 3.08-3.14
Hg: 0.0000 0.2700 0.0775 [8 per cell]  3 Hg 2.95-3.22, 2 Tb 3.12
Hg: 0.0000 0.3729 0.1035 [8 per cell]  2 Tm 3.14, 4 Tb 3.19-3.22, 1 Hg 3.22
Hg: 0.0000 0.4211 0.7500 [4 per cell]  4 Tb 3.16, 2 Hg 3.27
Hg: 0.0000 0.4887 0.1176 [8 per cell]  3 Hg 3.06-3.35, 2 Tm 3.08, 4 Tb 3.22-3.29

Summary:
* total moment: 0.0000 μB/atom
* electronic total energy: -2.08 eV/atom